The following is a PBE with a Hubbard U calculation of a relaxed Cr3WO crystal, from Alexandria via LeMat-Bulk.

Geometry as CIF:
```
data_Cr3WO
_chemical_formula_sum 'Cr3 W1 O1'
_cell_length_a 4.264
_cell_length_b 4.264
_cell_length_c 4.264
_cell_angle_alpha 90.00
_cell_angle_beta 90.00
_cell_angle_gamma 90.00
_space_group_name_H-M_alt 'P m -3 m'
_space_group_IT_number 221
_space_group_name_Hall '-P 4 2 3'
loop_
_atom_site_label
_atom_site_type_symbol
_atom_site_fract_x
_atom_site_fract_y
_atom_site_fract_z
_atom_site_occupancy
Cr1 Cr 0.000 0.000 0.500 1
W1 W 0.500 0.500 0.500 1
O1 O 0.000 0.000 0.000 1
```

Properties
Total magnetic moment, μB per formula unit: 8.2
Mass density, g cm⁻³: 7.62
Energy relative to the lowest polymorph listed for this composition, eV/atom: 0.000
VASP energy, eV per atom: -6.854